Here is SrZn4Cd after structural relaxation from the Alexandria database. Energies are from PBE.

Cell and atoms, written as POSCAR:
```
SrZn4Cd
1.0
8.462 0.000 0.000
0.000 16.484 0.000
0.000 0.000 3.775
Sr Zn Cd
4 16 4
Direct
0.125 0.152 0.000
0.375 0.652 0.000
0.625 0.348 0.000
0.875 0.848 0.000
0.023 0.695 0.500
0.124 0.550 0.500
0.127 0.964 0.500
0.212 0.810 0.500
0.288 0.310 0.500
0.373 0.464 0.500
0.376 0.050 0.500
0.477 0.195 0.500
0.523 0.805 0.500
0.624 0.950 0.500
0.627 0.536 0.500
0.712 0.690 0.500
0.788 0.190 0.500
0.873 0.036 0.500
0.876 0.450 0.500
0.977 0.305 0.500
0.132 0.412 0.000
0.368 0.912 0.000
0.632 0.088 0.000
0.868 0.588 0.000
```

Results
- Total magnetization: 0.000 μB/atom
- Energy of formation from the pure elements: -122.2 meV/atom
- Raw total energy: -1.40 eV/atom
- Density of states at the Fermi level: 0.3445 states/eV/atom
- Density: 5824 kg/m3

Here is SrZnCd3 after structural relaxation from the Alexandria database. Energies are from PBE.

Cell and atoms, written as POSCAR:
```
SrZnCd3
1.0
3.226 -6.128 0.000
3.226 6.128 0.000
0.000 0.000 6.500
Sr Zn Cd
2 2 6
Direct
0.248 0.752 0.750
0.752 0.248 0.250
0.363 0.637 0.250
0.637 0.363 0.750
0.145 0.855 0.250
0.260 0.260 0.000
0.260 0.260 0.500
0.740 0.740 0.000
0.740 0.740 0.500
0.855 0.145 0.750
```

Results
- Total magnetization: 0.000 μB/atom
- Energy of formation from the pure elements: -236.9 meV/atom
- Raw total energy: -1.38 eV/atom
- Density of states at the Fermi level: 0.3634 states/eV/atom
- Density: 6337 kg/m3

Here is Sr7Zn2Cd2 after structural relaxation from the Alexandria database. Energies are from PBE.

Cell and atoms, written as POSCAR:
```
Sr7Zn2Cd2
1.0
4.386 -6.340 0.000
4.386 6.340 0.000
0.000 0.000 8.121
Sr Zn Cd
7 2 2
Direct
0.000 0.000 0.000
0.000 0.500 0.268
0.000 0.500 0.732
0.500 0.000 0.268
0.500 0.000 0.732
0.500 0.500 0.249
0.500 0.500 0.751
0.294 0.706 0.000
0.706 0.294 0.000
0.167 0.167 0.500
0.833 0.833 0.500
```

Results
- Total magnetization: 0.000 μB/atom
- Energy of formation from the pure elements: -58.7 meV/atom
- Raw total energy: -1.53 eV/atom
- Density of states at the Fermi level: 1.2361 states/eV/atom
- Density: 3563 kg/m3

Here is SrZnCd3 after structural relaxation from the Alexandria database. Energies are from PBE.

Cell and atoms, written as POSCAR:
```
SrZnCd3
1.0
6.686 0.000 0.000
0.000 6.686 0.000
0.000 0.000 6.686
Sr Zn Cd
1 1 3
Direct
0.000 0.000 0.000
0.500 0.500 0.500
0.000 0.000 0.500
0.000 0.500 0.000
0.500 0.000 0.000
```

Results
- Total magnetization: 0.000 μB/atom
- Energy of formation from the pure elements: 618.0 meV/atom
- Raw total energy: -0.52 eV/atom
- Density of states at the Fermi level: 0.9201 states/eV/atom
- Density: 2724 kg/m3

Question: Look up the energy of formation from the pure elements of the third one.
Answer: -58.7 meV/atom